Entry 1:
Computed, not measured: an optimized crystal structure of CdMoCl at the PBEsol level of DFT.

abc: 4.672 4.672 4.672
angles: 60.00 60.00 60.00
Atoms (fractional coordinates):
Cd  0.000  0.000  0.000
Mo  0.250  0.250  0.250
Cl  0.500  0.500  0.500

mass density = 5.62 Mg/m³
DOS at the Fermi energy = 2.0 states/eV/cell
space-group type = No. 216
calculated volume = 24.03 A^3/atom
ΔE_f (raw) = 1.047 eV per atom
raw total energy = -3.944 eV per atom



Entry 2:
Computed, not measured: an optimized crystal structure of AlSiIr at the PBEsol level of DFT.

abc: 4.061 4.061 4.061
angles: 60.00 60.00 60.00
Atoms (fractional coordinates):
Al  0.000  0.000  0.000
Si  0.500  0.500  0.500
Ir  0.250  0.250  0.250

mass density = 8.67 Mg/m³
DOS at the Fermi energy = 1.7 states/eV/cell
space-group type = No. 216
calculated volume = 15.79 A^3/atom
ΔE_f (raw) = -0.627 eV per atom
raw total energy = -7.180 eV per atom